# 1
Compound: Zr2CrFeNi
Source: Alexandria via LeMat-Bulk
Functional: PBE-GGA
Structure: relaxed

space-group type = P4/mmm
theoretical density = 6174 kg/m³
spin magnetization = 0.0 μB/f.u.
VASP energy = -37.93 eV per cell

Cell: 4.8415 4.0045 4.8415 Å, 90.00 90.00 90.00°
With the nearest neighbours (Å) after each atom.
Fractional coordinates of all 5 atoms:
Ni 0.5000 0.5000 0.5000  8 Zr 3.14, 4 Cr 3.42
Fe 0.0000 0.0000 0.0000  2 Cr 2.00
Zr 0.0000 0.0000 0.5000  2 Fe 2.42
Zr 0.5000 0.0000 0.0000  2 Fe 2.42
Cr 0.0000 0.5000 0.0000  2 Fe 2.00

# 2
Compound: YMgSi2
Source: Alexandria via LeMat-Bulk
Functional: PBE-GGA
Structure: relaxed

space-group type = C2/m
theoretical density = 3474 kg/m³
spin magnetization = 0.0 μB/f.u.
formation energy without anion corrections = -0.334 eV per atom

Cell: 4.7494 4.7494 5.2160 Å, 70.67 70.67 47.58°
With the nearest neighbours (Å) after each atom.
Fractional coordinates of all 4 atoms:
Mg 0.2500 0.2500 0.2500  6 Si 2.65-2.74
Si 0.9914 0.9914 0.0934  2 Si 2.56, 3 Mg 2.65-2.74
Si 0.5086 0.5086 0.4066  2 Si 2.56, 3 Mg 2.65-2.74
Y 0.7500 0.7500 0.7500  8 Si 3.00-3.31, 4 Mg 3.24

# 3
Compound: BeTcCl2
Source: Alexandria via LeMat-Bulk
Functional: PBE-GGA
Structure: relaxed

space-group type = R-3m
theoretical density = 3492 kg/m³
spin magnetization = 3.0 μB/f.u.
formation energy without anion corrections = 0.120 eV per atom

Cell: 10.7099 10.7099 10.7099 Å, 16.32 16.32 16.32°
With the nearest neighbours (Å) after each atom.
Fractional coordinates of all 4 atoms:
Be 0.7500 0.7500 0.7500  6 Cl 2.18
Tc 0.2500 0.2500 0.2500  6 Tc 3.04
Cl 0.0423 0.0423 0.0423  3 Be 2.18
Cl 0.4577 0.4577 0.4577  3 Be 2.18

Number 1: density of states at the Fermi level 1.291 states/eV per atom. Number 2: density of states at the Fermi level 0.337 states/eV per atom. Number 3: density of states at the Fermi level 0.536 states/eV per atom.